The following is a DFT calculation (GGA-PBE) of a relaxed RbTl5Hg3 crystal.

The structure in POSCAR format:
```
RbTl5Hg3
1.0
1.7469 -8.9026 0.0000
1.7469 8.9026 0.0000
0.0000 0.0000 18.5310
Rb Tl Hg
2 10 6
Direct
0.1751 0.8249 0.7500
0.8249 0.1751 0.2500
0.0000 0.0000 0.0000
0.0000 0.0000 0.5000
0.1723 0.8277 0.0834
0.1723 0.8277 0.4166
0.4921 0.5079 0.6591
0.4921 0.5079 0.8409
0.5079 0.4921 0.1591
0.5079 0.4921 0.3409
0.8277 0.1723 0.5834
0.8277 0.1723 0.9166
0.1441 0.8559 0.2500
0.3459 0.6541 0.0737
0.3459 0.6541 0.4263
0.6541 0.3459 0.5737
0.6541 0.3459 0.9263
0.8559 0.1441 0.7500
```

Values from the calculation:
Electronic total energy (eV/atom): -1.574
SG: Cmcm, No. 63
Formation enthalpy at 0 K (eV per atom): -0.051